ScCr2Rh: optimized geometry, PBE-GGA.

Results
calculated total energy	-8.3467	eV/atom
N(E_F)	0.92	states/eV per atom
formation energy from the elements	-0.114	eV/atom

abc: 4.418 4.418 4.418
angles: 60.00 60.00 60.00
Element x y z (fractional)
Sc  0.000  0.000  0.000
Cr  0.500  0.500  0.500
Cr  0.750  0.750  0.750
Rh  0.250  0.250  0.250